The following is a DFT calculation (PBEsol) of a relaxed structure of CoNiN.

Output
* E_form (uncorrected): 0.05 eV per atom
* energy: -22.3 eV for the cell shown

Cell: 3.1246 3.1246 3.6479 Å, 90.00 90.00 120.00°
Space group P-6m2 (No. 187)
One atom of each set of equivalent atoms:
Co  0.0000  0.0000  0.0000
Ni  0.3333  0.6667  0.5000
N  0.3333  0.6667  0.0000

***

The following is a DFT calculation (PBEsol) of a relaxed structure of Cr3Se2.

Output
* polymorph energy (0 for the lowest one): 2.5 meV/atom
* E_form (uncorrected): 0.18 eV per atom
* energy: -37.5 eV for the cell shown

Cell: 3.8872 3.8872 5.6311 Å, 90.00 90.00 120.00°
Space group P-3m1 (No. 164)
One atom of each set of equivalent atoms:
Cr  0.0000  0.0000  0.0000
Cr  0.3333  0.6667  0.3440
Se  0.3333  0.6667  0.7653

***

The following is a DFT calculation (PBEsol) of a relaxed structure of CaAgI3.

Output
* E_form (uncorrected): -0.55 eV per atom
* energy: -13.5 eV for the cell shown

Cell: 5.628 5.628 5.628 Å, 90.00 90.00 90.00°
Space group Pm-3m (No. 221)
One atom of each set of equivalent atoms:
Ca  0.000  0.000  0.000
Ag  0.500  0.500  0.500
I  0.000  0.500  0.500

***

The following is a DFT calculation (PBEsol) of a relaxed structure of AlCr2Se.

Output
* polymorph energy (0 for the lowest one): 211.6 meV/atom
* E_form (uncorrected): 0.50 eV per atom
* energy: -105.7 eV for the cell shown

Cell: 6.775 6.775 5.504 Å, 90.00 90.00 90.00°
Space group I-42d (No. 122)
One atom of each set of equivalent atoms:
Al  0.000  0.000  0.000
Cr  0.215  0.750  0.625
Se  0.000  0.000  0.500

***

The following is a DFT calculation (PBEsol) of a relaxed structure of ZnHgBi2.

Output
* energy: -40.0 eV for the cell shown

Cell: 4.572 4.572 20.967 Å, 90.00 90.00 90.00°
Space group I-42d (No. 122)
One atom of each set of equivalent atoms:
Zn  0.000  0.000  0.000
Hg  0.000  0.000  0.500
Bi  0.232  0.250  0.125

***

The following is a DFT calculation (PBEsol) of a relaxed structure of Li3VCr3O8.

Output
* polymorph energy (0 for the lowest one): 2.9 meV/atom
* E_form (uncorrected): -2.08 eV per atom
* energy: -358.5 eV for the cell shown

Cell: 5.8398 5.8398 13.8230 Å, 90.00 90.00 120.00°
Space group R-3m (No. 166, hexagonal axes)
One atom of each set of equivalent atoms:
Li  0.0000  0.5000  0.0000
V  0.0000  0.0000  0.0000
Cr  0.0000  0.5000  0.5000
O  0.0000  0.0000  0.2421
O  0.0288  0.5144  0.7504

***

The following is a DFT calculation (PBEsol) of a relaxed structure of AlCd2Re.

Output
* energy: -56.5 eV for the cell shown

Cell: 2.9029 2.9029 28.2027 Å, 90.00 90.00 120.00°
Space group R3m (No. 160, hexagonal axes)
One atom of each set of equivalent atoms:
Al  0.0000  0.0000  0.0000
Cd  0.0000  0.0000  0.2473
Cd  0.0000  0.0000  0.4890
Re  0.0000  0.0000  0.7379

***

The following is a DFT calculation (PBEsol) of a relaxed structure of SmZn2.

Output
* energy: -37.5 eV for the cell shown

Cell: 4.486 7.209 7.333 Å, 90.00 90.00 90.00°
Space group Imma (No. 74)
One atom of each set of equivalent atoms:
Sm  0.000  0.250  0.042
Zn  0.000  0.057  0.665

***

The following is a DFT calculation (PBEsol) of a relaxed structure of SrCu2Ir.

Output
* polymorph energy (0 for the lowest one): 769.7 meV/atom
* energy: -52.1 eV for the cell shown

Cell: 2.8234 2.8234 27.9983 Å, 90.00 90.00 120.00°
Space group R-3m (No. 166, hexagonal axes)
One atom of each set of equivalent atoms:
Sr  0.0000  0.0000  0.0000
Cu  0.0000  0.0000  0.2391
Ir  0.0000  0.0000  0.5000

***

The following is a DFT calculation (PBEsol) of a relaxed structure of ZrTlPO2.

Output
* E_form (uncorrected): -1.47 eV per atom
* energy: -35.4 eV for the cell shown

Cell: 4.028 4.028 5.532 Å, 90.00 90.00 90.00°
Space group P4/mmm (No. 123)
One atom of each set of equivalent atoms:
Zr  0.000  0.000  0.000
Tl  0.500  0.500  0.500
P  0.000  0.000  0.500
O  0.000  0.500  0.000

***

The following is a DFT calculation (PBEsol) of a relaxed structure of KC2.

Output
* polymorph energy (0 for the lowest one): 939.5 meV/atom
* energy: -32.4 eV for the cell shown

Cell: 4.297 4.297 7.249 Å, 90.00 90.00 90.00°
Space group I4/mmm (No. 139)
One atom of each set of equivalent atoms:
K  0.000  0.000  0.000
C  0.000  0.000  0.413

***

The following is a DFT calculation (PBEsol) of a relaxed structure of SrZnGe3.

Output
* energy: -11.3 eV for the cell shown

Cell: 5.564 5.564 5.564 Å, 90.00 90.00 90.00°
Space group Pm-3m (No. 221)
One atom of each set of equivalent atoms:
Sr  0.000  0.000  0.000
Zn  0.500  0.500  0.500
Ge  0.000  0.000  0.500

***

The following is a DFT calculation (PBEsol) of a relaxed structure of TiGeN2F.

Output
* polymorph energy (0 for the lowest one): 0.0 meV/atom
* E_form (uncorrected): -0.64 eV per atom
* energy: -35.5 eV for the cell shown

Cell: 3.939 3.939 3.870 Å, 90.00 90.00 90.00°
Space group P4/mmm (No. 123)
One atom of each set of equivalent atoms:
Ti  0.000  0.000  0.000
Ge  0.500  0.500  0.500
N  0.000  0.500  0.000
F  0.000  0.000  0.500

***

The following is a DFT calculation (PBEsol) of a relaxed structure of MgPW2.

Output
* polymorph energy (0 for the lowest one): 192.7 meV/atom
* energy: -33.5 eV for the cell shown

Cell: 3.260 4.234 4.333 Å, 90.00 90.00 90.00°
Space group Pmmm (No. 47)
One atom of each set of equivalent atoms:
Mg  0.000  0.000  0.000
P  0.500  0.000  0.500
W  0.000  0.500  0.500
W  0.500  0.500  0.000

***

The following is a DFT calculation (PBEsol) of a relaxed structure of La3TiBr.

Output
* E_form (uncorrected): 0.15 eV per atom
* energy: -25.5 eV for the cell shown

Cell: 5.458 5.458 5.458 Å, 90.00 90.00 90.00°
Space group Pm-3m (No. 221)
One atom of each set of equivalent atoms:
La  0.000  0.000  0.500
Ti  0.000  0.000  0.000
Br  0.500  0.500  0.500

***

The following is a DFT calculation (PBEsol) of a relaxed structure of YTl2.

Output
* energy: -25.9 eV for the cell shown

Cell: 5.3049 5.3049 6.3921 Å, 90.00 90.00 120.00°
Space group P6_3/mmc (No. 194)
One atom of each set of equivalent atoms:
Y  0.3333  0.6667  0.2500
Tl  0.0000  0.0000  0.0000
Tl  0.3333  0.6667  0.7500

***

The following is a DFT calculation (PBEsol) of a relaxed structure of MnZn2Tc.

Output
* polymorph energy (0 for the lowest one): 0.0 meV/atom
* energy: -24.2 eV for the cell shown

Cell: 2.823 2.823 6.475 Å, 90.00 90.00 90.00°
Space group P4mm (No. 99)
One atom of each set of equivalent atoms:
Mn  0.000  0.000  0.000
Zn  0.000  0.000  0.489
Zn  0.500  0.500  0.751
Tc  0.500  0.500  0.206

***

The following is a DFT calculation (PBEsol) of a relaxed structure of Ba3SrMg2Te2O12.

Output
* E_form (uncorrected): -2.33 eV per atom
* energy: -385.1 eV for the cell shown

Cell: 5.7180 5.7180 27.9856 Å, 90.00 90.00 120.00°
Space group R3m (No. 160, hexagonal axes)
One atom of each set of equivalent atoms:
Ba  0.0000  0.0000  0.0000
Ba  0.0000  0.0000  0.2494
Ba  0.0000  0.0000  0.7503
Sr  0.0000  0.0000  0.4997
Mg  0.0000  0.0000  0.1253
Mg  0.0000  0.0000  0.6245
Te  0.0000  0.0000  0.3756
Te  0.0000  0.0000  0.8742
O  0.0133  0.5066  0.0019
O  0.0130  0.5065  0.5012
O  0.1717  0.3433  0.5803
O  0.1748  0.3496  0.0829

***

The following is a DFT calculation (PBEsol) of a relaxed structure of Cr2CdRu.

Output
* energy: -59.3 eV for the cell shown

Cell: 3.023 4.282 8.496 Å, 90.00 90.00 90.00°
Space group Immm (No. 71)
One atom of each set of equivalent atoms:
Cr  0.000  0.000  0.234
Cd  0.000  0.500  0.000
Ru  0.000  0.500  0.500

***

The following is a DFT calculation (PBEsol) of a relaxed structure of LaYP2S.

Output
* E_form (uncorrected): -0.14 eV per atom
* energy: -28.8 eV for the cell shown

Cell: 5.118 5.118 5.276 Å, 90.00 90.00 90.00°
Space group P4/mmm (No. 123)
One atom of each set of equivalent atoms:
La  0.000  0.000  0.000
Y  0.500  0.500  0.500
P  0.000  0.500  0.000
S  0.000  0.000  0.500

***

The following is a DFT calculation (PBEsol) of a relaxed structure of MnIrPd3.

Output
* energy: -30.6 eV for the cell shown

Cell: 4.418 4.418 4.418 Å, 90.00 90.00 90.00°
Space group Pm-3m (No. 221)
One atom of each set of equivalent atoms:
Mn  0.000  0.000  0.000
Ir  0.500  0.500  0.500
Pd  0.000  0.000  0.500

***

The following is a DFT calculation (PBEsol) of a relaxed structure of TiCd3Os.

Output
* polymorph energy (0 for the lowest one): 0.0 meV/atom
* energy: -18.0 eV for the cell shown

Cell: 5.043 5.043 5.043 Å, 90.00 90.00 90.00°
Space group Pm-3m (No. 221)
One atom of each set of equivalent atoms:
Ti  0.000  0.000  0.000
Cd  0.000  0.500  0.500
Os  0.500  0.500  0.500

***

The following is a DFT calculation (PBEsol) of a relaxed structure of AsPb2Au2.

Output
* energy: -41.5 eV for the cell shown

Cell: 7.228 7.228 4.362 Å, 90.00 90.00 90.00°
Space group P4/mbm (No. 127)
One atom of each set of equivalent atoms:
As  0.000  0.000  0.000
Pb  0.171  0.329  0.500
Au  0.136  0.636  0.000

***

The following is a DFT calculation (PBEsol) of a relaxed structure of Rb2TlTc.

Output
* energy: -42.0 eV for the cell shown

Cell: 8.298 8.298 8.298 Å, 90.00 90.00 90.00°
Space group Fm-3m (No. 225)
One atom of each set of equivalent atoms:
Rb  0.250  0.250  0.250
Tl  0.000  0.000  0.000
Tc  0.000  0.000  0.500

***

The following is a DFT calculation (PBEsol) of a relaxed structure of SrHgO2.

Output
* E_form (uncorrected): -0.56 eV per atom
* energy: -45.4 eV for the cell shown

Cell: 3.7271 3.7271 19.7628 Å, 90.00 90.00 120.00°
Space group R-3m (No. 166, hexagonal axes)
One atom of each set of equivalent atoms:
Sr  0.0000  0.0000  0.0000
Hg  0.0000  0.0000  0.5000
O  0.0000  0.0000  0.1138

***

The following is a DFT calculation (PBEsol) of a relaxed structure of TiMn3Rh.

Output
* energy: -39.4 eV for the cell shown

Cell: 4.268 4.268 4.268 Å, 90.00 90.00 90.00°
Space group Pm-3m (No. 221)
One atom of each set of equivalent atoms:
Ti  0.000  0.000  0.000
Mn  0.000  0.000  0.500
Rh  0.500  0.500  0.500

***

The following is a DFT calculation (PBEsol) of a relaxed structure of YZn2Rh2.

Output
* polymorph energy (0 for the lowest one): 0.0 meV/atom
* energy: -57.5 eV for the cell shown

Cell: 7.188 7.188 3.046 Å, 90.00 90.00 90.00°
Space group P4/mbm (No. 127)
One atom of each set of equivalent atoms:
Y  0.000  0.000  0.000
Zn  0.146  0.354  0.500
Rh  0.148  0.648  0.000

***

no.,volume (Å³ per atom)
1,10.3
2,14.7
3,35.6
4,15.8
5,27.4
6,9.1
7,17.2
8,19.8
9,16.1
10,18.0
11,22.3
12,34.4
13,12.0
14,15.0
15,32.5
16,26.0
17,12.9
18,13.2
19,13.7
20,27.6
21,17.2
22,25.7
23,22.8
24,35.7
25,19.8
26,15.5
27,15.7